A plane-wave DFT calculation with PBE-GGA was carried out for a geometry-optimized Pt3Pb structure.

```
8
Lattice="-3.383 1.991 -2.101 -1.250 -4.855 -2.588 -3.633 -1.450 4.475" Properties=species:S:1:pos:R:3 pbc="T T T"
Pt -3.127 -2.821 -2.356
Pb -1.396 -0.557 1.720
Pb -4.553 -2.325 0.411
Pt -2.515 -0.445 -1.090
Pt -4.073 -4.916 1.899
Pt -1.604 -2.818 -0.088
Pt -4.345 -0.064 2.219
Pt -3.434 -2.437 3.220
```

Values from the calculation:
- Final energy: -5.485 eV per atom

A plane-wave DFT calculation with PBE-GGA was carried out for a geometry-optimized PtPb structure.

```
2
Lattice="4.414 0.000 0.000 2.207 3.823 0.000 2.207 1.274 3.604" Properties=species:S:1:pos:R:3 pbc="T T T"
Pt 2.207 1.274 0.901
Pb 0.000 0.000 0.000
```

Values from the calculation:
- Final energy: -4.710 eV per atom

A plane-wave DFT calculation with PBE-GGA was carried out for a geometry-optimized Pt7Pb6 structure.

```
13
Lattice="10.691 -0.012 -0.007 9.217 5.417 -0.007 9.217 2.502 4.805" Properties=species:S:1:pos:R:3 pbc="T T T"
Pt 12.531 1.976 2.806
Pb 19.618 5.326 3.226
Pb 9.508 2.581 1.564
Pt 11.809 4.632 2.806
Pt 16.595 5.931 1.984
Pt 12.531 3.402 0.452
Pb 27.516 7.470 4.525
Pt 17.316 3.275 1.984
Pb 1.609 0.437 0.265
Pb 24.275 6.591 3.992
Pt 16.595 4.505 4.338
Pb 4.850 1.317 0.798
Pt 14.563 3.954 2.395
```

Values from the calculation:
- Final energy: -5.058 eV per atom

A plane-wave DFT calculation with PBE-GGA was carried out for a geometry-optimized PtPb3 structure.

```
4
Lattice="5.479 0.000 0.000 0.000 5.479 0.000 0.000 0.000 5.479" Properties=species:S:1:pos:R:3 pbc="T T T"
Pb 2.739 0.000 0.000
Pb 0.000 2.739 0.000
Pb 0.000 0.000 2.739
Pt 0.000 0.000 0.000
```

Values from the calculation:
- Final energy: -3.920 eV per atom
- ΔE to the lowest computed polymorph: 49.4 kJ per mole of atoms

Fermi-level density of states (computed, states/eV per cell): 5.8; 1.1; 8.3; 4.2